! Co2ReNi2O6 | Alexandria | GGA+U | relaxed; values from VASP
&SYSTEM
  ibrav = 0, nat = 11, ntyp = 4
/
ATOMIC_SPECIES
Co 58.93 Co.upf
Re 186.21 Re.upf
Ni 58.69 Ni.upf
O 16.00 O.upf
ATOMIC_POSITIONS angstrom
Co 3.8615 0.8565 0.0543
Co -1.1640 3.7802 0.0543
Re -0.5145 -0.8844 2.4406
Ni -0.4042 2.1544 2.4949
Ni 2.0726 0.7134 2.4949
O 1.3260 2.2793 3.6620
O -1.4695 0.5334 3.5945
O 0.3424 0.5885 1.3277
O 1.1900 -1.0138 3.5945
O 3.1379 2.3344 1.3952
O 0.4784 3.8816 1.3952
CELL_PARAMETERS angstrom
5.2200 0.0662 0.0543
-2.5225 4.5705 0.0543
-1.0290 -1.7688 4.8811
! * raw total energy: -6.218 eV/atom
! * magnetization: 7.0 Bohr magnetons per cell